No. 1
Compound: CaTaFe2
Source: Alexandria via LeMat-Bulk
Functional: PBE
Structure: optimized geometry

Properties
Its relative energy among the computed polymorphs is 267 meV per atom. The value obtained for the formation energy from the elements is 0.4654 eV per atom.

Cell: 2.9013 4.6135 5.6433 Å, 113.66 104.84 90.09°
Space group P1 (No. 1)
Inequivalent atoms, fractional coordinates:
1 Ca 0.0000 0.0000 0.0000 (multiplicity 1)
2 Ta 0.7884 0.2917 0.5777 (multiplicity 1)
3 Fe 0.2316 0.7344 0.4638 (multiplicity 1)
4 Fe 0.5464 0.5455 0.0931 (multiplicity 1)

No. 2
Compound: CaTaFe
Source: Alexandria via LeMat-Bulk
Functional: PBE
Structure: optimized geometry

Properties
Its relative energy among the computed polymorphs is 544 meV per atom. The value obtained for the formation energy from the elements is 0.8565 eV per atom.

Cell: 6.2227 6.2227 6.2227 Å, 90.00 90.00 90.00°
Space group F-43m (No. 216)
Inequivalent atoms, fractional coordinates:
1 Ca 0.0000 0.0000 0.0000 (multiplicity 4)
2 Ta 0.0000 0.0000 0.5000 (multiplicity 4)
3 Fe 0.2500 0.2500 0.7500 (multiplicity 4)

No. 3
Compound: CaTaFe3
Source: Alexandria via LeMat-Bulk
Functional: PBE
Structure: optimized geometry

Properties
Its relative energy among the computed polymorphs is 0 meV per atom. The value obtained for the formation energy from the elements is 0.9643 eV per atom.

Cell: 4.6590 4.6590 4.6590 Å, 90.00 90.00 90.00°
Space group Pm-3m (No. 221)
Inequivalent atoms, fractional coordinates:
1 Ca 0.0000 0.0000 0.0000 (multiplicity 1)
2 Ta 0.5000 0.5000 0.5000 (multiplicity 1)
3 Fe 0.0000 0.5000 0.5000 (multiplicity 3)

No. 4
Compound: Ca2TaFe
Source: Alexandria via LeMat-Bulk
Functional: PBE
Structure: optimized geometry

Properties
Its relative energy among the computed polymorphs is 607 meV per atom. The value obtained for the formation energy from the elements is 0.8654 eV per atom.

Cell: 5.9331 10.0902 2.9582 Å, 90.00 90.00 90.00°
Space group Cmmm (No. 65)
Inequivalent atoms, fractional coordinates:
1 Ca 0.2500 0.2500 0.0000 (multiplicity 4)
2 Ta 0.0000 0.0000 0.5000 (multiplicity 2)
3 Fe 0.0000 0.5000 0.5000 (multiplicity 2)